A) ## DyHoIn2 (GGA-PBE)

Data for crystalline DyHoIn2 at its relaxed geometry.

Lattice parameters (Å, degrees): 5.305 5.305 5.305 60.00 60.00 60.00
Positions (direct):
In (0.250, 0.250, 0.250)
In (0.750, 0.750, 0.750)
Ho (0.000, 0.000, 0.000)
Dy (0.500, 0.500, 0.500)

Properties
V = 26.392 A^3/atom
Calculated density = 8.8 g/cm³
Space-group type = Fm-3m

B) ## DyHoIn2 (GGA-PBE)

Data for crystalline DyHoIn2 at its relaxed geometry.

Lattice parameters (Å, degrees): 3.678 3.678 9.934 79.33 79.33 60.00
Positions (direct):
In (0.750, 0.750, 0.751)
In (0.250, 0.250, 0.249)
Ho (0.000, 0.000, 0.000)
Dy (0.500, 0.500, 0.500)

Properties
V = 28.418 A^3/atom
Calculated density = 8.1 g/cm³
Space-group type = R-3m

Result of the stability comparison: A) is the most stable of them.

A) ## DyHo4In (GGA-PBE)

Data for crystalline DyHo4In at its relaxed geometry.

Lattice parameters (Å, degrees): 3.548 3.548 14.196 90.00 90.00 90.00
Positions (direct):
Dy (0.000, 0.000, 0.000)
Ho (0.500, 0.500, 0.176)
Ho (0.000, 0.000, 0.648)
Ho (0.000, 0.000, 0.352)
Ho (0.500, 0.500, 0.824)
In (0.500, 0.500, 0.500)

Properties
V = 29.780 A^3/atom
Calculated density = 8.7 g/cm³
Space-group type = P4/mmm

B) ## DyHo4In (GGA-PBE)

Data for crystalline DyHo4In at its relaxed geometry.

Lattice parameters (Å, degrees): 4.852 9.830 7.738 90.00 108.27 90.00
Positions (direct):
Dy (0.668, 0.703, 0.335)
Dy (0.332, 0.203, 0.665)
Ho (0.000, 0.197, 0.000)
Ho (0.000, 0.697, 0.000)
Ho (0.496, 0.947, 0.992)
Ho (0.504, 0.447, 0.008)
Ho (0.827, 0.447, 0.655)
Ho (0.173, 0.947, 0.345)
Ho (0.667, 0.192, 0.335)
Ho (0.333, 0.692, 0.665)
In (0.835, 0.947, 0.669)
In (0.165, 0.447, 0.331)

Properties
V = 29.205 A^3/atom
Calculated density = 8.9 g/cm³
Space-group type = Cmc2_1

Result of the stability comparison: A) is the most stable of them.

A) ## Dy6HoIn2 (GGA-PBE)

Data for crystalline Dy6HoIn2 at its relaxed geometry.

Lattice parameters (Å, degrees): 6.254 6.254 8.790 110.84 110.84 90.00
Positions (direct):
Dy (0.910, 0.265, 0.175)
Dy (0.735, 0.735, 0.825)
Dy (0.265, 0.910, 0.175)
Dy (0.090, 0.090, 0.825)
Dy (0.750, 0.250, 0.500)
Dy (0.250, 0.750, 0.500)
Ho (0.500, 0.500, 0.000)
In (0.288, 0.288, 0.576)
In (0.712, 0.712, 0.424)

Properties
V = 33.009 A^3/atom
Calculated density = 7.7 g/cm³
Space-group type = I-42m

B) ## Dy6HoIn2 (GGA-PBE)

Data for crystalline Dy6HoIn2 at its relaxed geometry.

Lattice parameters (Å, degrees): 3.732 6.622 11.759 74.76 80.87 73.63
Positions (direct):
Dy (0.683, 0.510, 0.123)
Dy (0.317, 0.490, 0.877)
Dy (0.310, 0.795, 0.586)
Dy (0.984, 0.689, 0.342)
Dy (0.016, 0.311, 0.658)
Dy (0.690, 0.205, 0.414)
Ho (0.000, 0.000, 0.000)
In (0.357, 0.081, 0.205)
In (0.643, 0.919, 0.795)

Properties
V = 29.765 A^3/atom
Calculated density = 8.5 g/cm³
Space-group type = C2/m

Result of the stability comparison: B) is the most stable of them.

A) ## Dy4HoIn2 (GGA-PBE)

Data for crystalline Dy4HoIn2 at its relaxed geometry.

Lattice parameters (Å, degrees): 5.322 9.030 9.030 90.00 90.00 90.00
Positions (direct):
Dy (0.000, 0.078, 0.332)
Dy (0.000, 0.922, 0.668)
Dy (0.500, 0.168, 0.578)
Dy (0.500, 0.832, 0.422)
Dy (0.500, 0.422, 0.832)
Dy (0.500, 0.578, 0.168)
Dy (0.000, 0.332, 0.078)
Dy (0.000, 0.668, 0.922)
Ho (0.500, 0.000, 0.000)
Ho (0.000, 0.500, 0.500)
In (0.000, 0.253, 0.747)
In (0.000, 0.747, 0.253)
In (0.500, 0.753, 0.753)
In (0.500, 0.247, 0.247)

Properties
V = 30.995 A^3/atom
Calculated density = 8.0 g/cm³
Space-group type = P4_2/mnm

B) ## Dy4HoIn2 (GGA-PBE)

Data for crystalline Dy4HoIn2 at its relaxed geometry.

Lattice parameters (Å, degrees): 10.731 6.854 6.258 112.72 90.00 90.00
Positions (direct):
In (0.000, 0.695, 0.465)
In (0.000, 0.305, 0.535)
In (0.500, 0.805, 0.535)
In (0.500, 0.195, 0.465)
Ho (0.000, 0.000, 0.000)
Ho (0.500, 0.500, 0.000)
Dy (0.834, 0.500, 0.998)
Dy (0.719, 0.499, 0.498)
Dy (0.781, 0.999, 0.498)
Dy (0.666, 0.000, 0.998)
Dy (0.334, 0.000, 0.002)
Dy (0.219, 0.001, 0.502)
Dy (0.281, 0.501, 0.502)
Dy (0.166, 0.500, 0.002)

Properties
V = 30.326 A^3/atom
Calculated density = 8.2 g/cm³
Space-group type = P2_1/c

Result of the stability comparison: A) is the most stable of them.

A) ## Dy2Ho6In (GGA-PBE)

Data for crystalline Dy2Ho6In at its relaxed geometry.

Lattice parameters (Å, degrees): 6.160 11.681 10.863 46.38 106.48 105.29
Positions (direct):
Dy (0.392, 0.805, 0.641)
Dy (0.054, 0.305, 0.141)
Dy (0.608, 0.195, 0.359)
Dy (0.946, 0.695, 0.859)
Ho (0.383, 0.636, 0.471)
Ho (0.042, 0.471, 0.313)
Ho (0.617, 0.364, 0.529)
Ho (0.958, 0.529, 0.687)
Ho (0.827, 0.917, 0.408)
Ho (0.502, 0.583, 0.092)
Ho (0.173, 0.083, 0.592)
Ho (0.498, 0.417, 0.908)
Ho (0.276, 0.864, 0.029)
Ho (0.258, 0.029, 0.187)
Ho (0.724, 0.136, 0.971)
Ho (0.742, 0.971, 0.813)
In (0.166, 0.250, 0.750)
In (0.834, 0.750, 0.250)

Properties
V = 29.999 A^3/atom
Calculated density = 8.8 g/cm³
Space-group type = C2/c

B) ## Dy2Ho6In (GGA-PBE)

Data for crystalline Dy2Ho6In at its relaxed geometry.

Lattice parameters (Å, degrees): 3.458 10.093 9.531 121.97 100.44 90.00
Positions (direct):
Dy (0.155, 0.654, 0.309)
Dy (0.845, 0.346, 0.691)
Ho (0.177, 0.340, 0.354)
Ho (0.823, 0.986, 0.646)
Ho (0.823, 0.660, 0.646)
Ho (0.500, 0.303, 0.000)
Ho (0.177, 0.014, 0.354)
Ho (0.500, 0.697, 0.000)
In (0.000, 0.000, 0.000)

Properties
V = 30.632 A^3/atom
Calculated density = 8.6 g/cm³
Space-group type = Immm

Result of the stability comparison: A) is the most stable of them.

A) ## Dy3Ho3In2 (GGA-PBE)

Data for crystalline Dy3Ho3In2 at its relaxed geometry.

Lattice parameters (Å, degrees): 5.168 6.424 15.713 90.00 90.00 113.72
Positions (direct):
Dy (0.643, 0.286, 0.469)
Dy (0.357, 0.714, 0.969)
Dy (0.643, 0.286, 0.031)
Dy (0.357, 0.714, 0.531)
Dy (0.465, 0.930, 0.250)
Dy (0.535, 0.070, 0.750)
Ho (0.959, 0.919, 0.397)
Ho (0.041, 0.081, 0.897)
Ho (0.959, 0.919, 0.103)
Ho (0.041, 0.081, 0.603)
Ho (0.747, 0.494, 0.250)
Ho (0.253, 0.506, 0.750)
In (0.776, 0.551, 0.857)
In (0.224, 0.449, 0.357)
In (0.776, 0.551, 0.643)
In (0.224, 0.449, 0.143)

Properties
V = 29.848 A^3/atom
Calculated density = 8.4 g/cm³
Space-group type = Cmcm

B) ## Dy3Ho3In2 (GGA-PBE)

Data for crystalline Dy3Ho3In2 at its relaxed geometry.

Lattice parameters (Å, degrees): 4.833 4.833 9.665 90.00 90.00 90.00
Positions (direct):
Dy (0.500, 0.000, 0.500)
Dy (0.000, 0.500, 0.000)
Dy (0.000, 0.500, 0.500)
Ho (0.500, 0.500, 0.750)
Ho (0.500, 0.500, 0.250)
Ho (0.500, 0.000, 0.000)
In (0.000, 0.000, 0.750)
In (0.000, 0.000, 0.250)

Properties
V = 28.215 A^3/atom
Calculated density = 8.9 g/cm³
Space-group type = Pmmm

Result of the stability comparison: B) is the most stable of them.

A) ## Dy4HoIn3 (GGA-PBE)

Data for crystalline Dy4HoIn3 at its relaxed geometry.

Lattice parameters (Å, degrees): 3.511 8.837 8.899 119.76 101.38 90.00
Positions (direct):
Dy (0.361, 0.559, 0.722)
Dy (0.639, 0.441, 0.278)
Dy (0.639, 0.838, 0.278)
Dy (0.361, 0.162, 0.722)
Ho (0.500, 0.000, 0.000)
In (0.000, 0.500, 0.000)
In (0.184, 0.184, 0.368)
In (0.816, 0.816, 0.632)

Properties
V = 29.179 A^3/atom
Calculated density = 8.2 g/cm³
Space-group type = Immm

B) ## Dy4HoIn3 (GGA-PBE)

Data for crystalline Dy4HoIn3 at its relaxed geometry.

Lattice parameters (Å, degrees): 5.352 5.352 9.555 73.74 73.74 60.00
Each line ends with the local moment (μB).
Positions (direct):
In (0.263, 0.263, 0.211)  -0.01
In (0.737, 0.737, 0.789)  -0.01
In (0.500, 0.500, 0.500)  0.01
Ho (0.000, 0.000, 0.000)  0.29
Dy (0.870, 0.870, 0.389)  0.12
Dy (0.386, 0.386, 0.843)  0.14
Dy (0.130, 0.130, 0.611)  0.12
Dy (0.614, 0.614, 0.157)  0.14

Properties
V = 28.031 A^3/atom
Calculated density = 8.6 g/cm³
Space-group type = R-3m

Result of the stability comparison: B) is the most stable of them.

A) ## LaDyHoIn (GGA-PBE)

Data for crystalline LaDyHoIn at its relaxed geometry.

Lattice parameters (Å, degrees): 5.541 5.541 5.541 60.00 60.00 60.00
Each line ends with the local moment (μB).
Positions (direct):
La (0.500, 0.500, 0.500)  0.14
In (0.750, 0.750, 0.750)  -0.01
Ho (0.250, 0.250, 0.250)  0.30
Dy (0.000, 0.000, 0.000)  0.24

Properties
V = 30.069 A^3/atom
Calculated density = 8.0 g/cm³
Space-group type = F-43m

B) ## LaDyHoIn (GGA-PBE)

Data for crystalline LaDyHoIn at its relaxed geometry.

Lattice parameters (Å, degrees): 5.480 5.480 5.485 119.97 119.97 90.00
Each line ends with the local moment (μB).
Positions (direct):
La (0.750, 0.250, 0.500)  0.12
Dy (0.500, 0.500, 0.000)  0.10
Ho (0.000, 0.000, 0.000)  0.11
In (0.250, 0.750, 0.500)  0.00

Properties
V = 29.143 A^3/atom
Calculated density = 8.3 g/cm³
Space-group type = F-43m

Result of the stability comparison: A) is the most stable of them.

A) ## PmDyHoIn (GGA-PBE)

Data for crystalline PmDyHoIn at its relaxed geometry.

Lattice parameters (Å, degrees): 5.475 5.475 5.477 119.99 119.99 90.00
Each line ends with the local moment (μB).
Positions (direct):
Pm (0.750, 0.250, 0.500)  0.35
Dy (0.500, 0.500, 0.000)  0.31
Ho (0.000, 0.000, 0.000)  0.32
In (0.250, 0.750, 0.500)  0.01

Properties
V = 29.030 A^3/atom
Calculated density = 8.4 g/cm³
Space-group type = F-43m

B) ## PmDyHoIn (GGA-PBE)

Data for crystalline PmDyHoIn at its relaxed geometry.

Lattice parameters (Å, degrees): 5.485 5.485 5.485 60.00 60.00 60.00
Each line ends with the local moment (μB).
Positions (direct):
Pm (0.500, 0.500, 0.500)  0.17
In (0.250, 0.250, 0.250)  0.00
Ho (0.750, 0.750, 0.750)  0.29
Dy (0.000, 0.000, 0.000)  0.24

Properties
V = 29.177 A^3/atom
Calculated density = 8.4 g/cm³
Space-group type = F-43m

Result of the stability comparison: B) is the most stable of them.

A) ## DyHoInRh (GGA-PBE)

Data for crystalline DyHoInRh at its relaxed geometry.

Lattice parameters (Å, degrees): 5.085 5.085 5.085 60.00 60.00 60.00
Positions (direct):
In (0.500, 0.500, 0.500)
Rh (0.000, 0.000, 0.000)
Ho (0.250, 0.250, 0.250)
Dy (0.750, 0.750, 0.750)

Properties
V = 23.245 A^3/atom
Calculated density = 9.7 g/cm³
Space-group type = F-43m

B) ## DyHoInRh (GGA-PBE)

Data for crystalline DyHoInRh at its relaxed geometry.

Lattice parameters (Å, degrees): 3.522 3.522 7.506 90.00 90.00 90.00
Positions (direct):
Dy (0.500, 0.500, 0.789)
Ho (0.500, 0.500, 0.354)
In (0.000, 0.000, 0.073)
Rh (0.000, 0.000, 0.569)

Properties
V = 23.280 A^3/atom
Calculated density = 9.7 g/cm³
Space-group type = P4mm

Result of the stability comparison: B) is the most stable of them.

A) ## DyHoInRu (GGA-PBE)

Data for crystalline DyHoInRu at its relaxed geometry.

Lattice parameters (Å, degrees): 3.447 3.447 7.810 90.00 90.00 90.00
Positions (direct):
Dy (0.500, 0.500, 0.782)
Ho (0.500, 0.500, 0.360)
In (0.000, 0.000, 0.073)
Ru (0.000, 0.000, 0.570)

Properties
V = 23.201 A^3/atom
Calculated density = 9.7 g/cm³
Space-group type = P4mm

B) ## DyHoInRu (GGA-PBE)

Data for crystalline DyHoInRu at its relaxed geometry.

Lattice parameters (Å, degrees): 5.049 5.049 5.049 60.00 60.00 60.00
Positions (direct):
Ru (0.500, 0.500, 0.500)
In (0.000, 0.000, 0.000)
Ho (0.250, 0.250, 0.250)
Dy (0.750, 0.750, 0.750)

Properties
V = 22.755 A^3/atom
Calculated density = 9.9 g/cm³
Space-group type = F-43m

Result of the stability comparison: A) is the most stable of them.

A) ## SmDyHoIn (GGA-PBE)

Data for crystalline SmDyHoIn at its relaxed geometry.

Lattice parameters (Å, degrees): 4.879 4.849 4.875 90.00 90.00 90.00
Each line ends with the local moment (μB).
Positions (direct):
Sm (0.500, 0.000, 0.500)  0.04
Dy (0.500, 0.500, 0.000)  0.06
Ho (0.000, 0.500, 0.500)  0.06
In (0.000, 0.000, 0.000)  0.00

Properties
V = 28.835 A^3/atom
Calculated density = 8.5 g/cm³
Space-group type = Pmmm

B) ## SmDyHoIn (GGA-PBE)

Data for crystalline SmDyHoIn at its relaxed geometry.

Lattice parameters (Å, degrees): 5.476 5.476 5.476 60.00 60.00 60.00
Each line ends with the local moment (μB).
Positions (direct):
In (0.250, 0.250, 0.250)  0.00
Ho (0.750, 0.750, 0.750)  0.29
Sm (0.000, 0.000, 0.000)  0.17
Dy (0.500, 0.500, 0.500)  0.24

Properties
V = 29.021 A^3/atom
Calculated density = 8.5 g/cm³
Space-group type = F-43m

Result of the stability comparison: A) is the most stable of them.